[1]
Below is a relaxed RbTmSiO4 crystal, with properties calculated at the PBE level.

a b c (Å): 5.537 5.705 7.635
angles (deg): 90.00 107.50 90.00
Space group P2_1/m (No. 11)
Inequivalent atoms, fractional coordinates:
Rb (0.193, 0.250, 0.431) (multiplicity 2)
Tm (0.289, 0.250, 0.961) (multiplicity 2)
Si (0.251, 0.750, 0.153) (multiplicity 2)
O (0.054, 0.750, 0.943) (multiplicity 2)
O (0.069, 0.750, 0.287) (multiplicity 2)
O (0.451, 0.526, 0.172) (multiplicity 4)

Values from the calculation:
calculated total energy: -7.291 eV/atom
formation energy from raw total energies: -2.906 eV per atom
calculated density: 5.0 Mg/m³
V: 16.43 Å³/atom

=====

[2]
Below is a relaxed CrCu2Ni8 crystal, with properties calculated at the PBE level.

a b c (Å): 7.202 9.457 3.778
angles (deg): 90.00 90.00 90.00
Space group Cmmm (No. 65)
Inequivalent atoms, fractional coordinates:
Cr (0.000, 0.000, 0.000) (multiplicity 2)
Cu (0.000, 0.378, 0.500) (multiplicity 4)
Ni (0.000, 0.242, 0.000) (multiplicity 4)
Ni (0.167, 0.130, 0.500) (multiplicity 8)
Ni (0.172, 0.500, 0.000) (multiplicity 4)

Values from the calculation:
calculated total energy: -5.610 eV/atom
formation energy: 0.21 eV per atom
calculated density: 8.4 Mg/m³
V: 11.70 Å³/atom

=====

[3]
Below is a relaxed Ce6Nd crystal, with properties calculated at the PBE level.

a b c (Å): 7.633 7.633 7.633
angles (deg): 90.00 90.00 90.00
Space group Im-3m (No. 229)
Inequivalent atoms, fractional coordinates:
Ce (0.000, 0.250, 0.500) (multiplicity 12)
Nd (0.000, 0.000, 0.000) (multiplicity 2)

Values from the calculation:
calculated total energy: -5.156 eV/atom
formation energy: 0.61 eV per atom
calculated density: 7.4 Mg/m³
V: 31.76 Å³/atom